Model one:
Here is an optimized crystal structure of Al2CdBi from Alexandria via LeMat-Bulk. Energies are from GGA-PBE.

Cell: 6.8279 6.8279 7.2797 Å, 62.03 62.03 90.00°
Closest atoms and distances in Å follow each position.
Atoms (fractional coordinates):
Al1 0.8750 0.8689 0.7500  2 Cd 2.75, 2 Bi 2.80
Al2 0.6189 0.1250 0.2500  2 Cd 2.75, 2 Bi 2.80
Al3 0.1311 0.6250 0.2500  2 Cd 2.75, 2 Bi 2.80
Al4 0.3750 0.3811 0.7500  2 Cd 2.75, 2 Bi 2.80
Cd1 0.5000 0.5000 0.0000  4 Al 2.75
Cd2 0.2500 0.7500 0.5000  4 Al 2.75
Bi1 0.7500 0.2500 0.5000  4 Al 2.80
Bi2 0.0000 0.0000 0.0000  4 Al 2.80

Calculated values
- spin magnetization (μB/f.u.) = 0.00
- space group = I-42d (122)

Model two:
Here is an optimized crystal structure of Al2CdBi from Alexandria via LeMat-Bulk. Energies are from GGA-PBE.

Cell: 5.1420 5.1420 5.1420 Å, 60.00 60.00 60.00°
Closest atoms and distances in Å follow each position.
Atoms (fractional coordinates):
Al1 0.7500 0.7500 0.7500  4 Bi 3.15, 4 Cd 3.15
Al2 0.2500 0.2500 0.2500  4 Bi 3.15, 4 Cd 3.15
Cd1 0.0000 0.0000 0.0000  8 Al 3.15
Bi1 0.5000 0.5000 0.5000  8 Al 3.15

Calculated values
- spin magnetization (μB/f.u.) = 0.00
- space group = Fm-3m (225)

Most stable one: model two, least stable one: model one.